# 1
This record from Alexandria describes a relaxed PaNb4S5 crystal. The functional is GGA-PBE.

Values from the calculation:
DOS(E_F) in states/eV/atom: 0.8675
DFT total energy in eV/f.u.: -74.70
Crystal system: orthorhombic
Uncorrected formation energy in eV per formula unit: -4.29

Cell: 6.997 6.784 8.521 Å, 90.00 90.00 90.00°
Positions (direct):
S  0.272  0.269  0.779
S  0.832  0.500  0.000
S  0.168  0.000  0.500
S  0.272  0.731  0.221
S  0.728  0.231  0.721
S  0.272  0.731  0.779
S  0.728  0.769  0.721
S  0.728  0.769  0.279
S  0.728  0.231  0.279
S  0.272  0.269  0.221
Nb  0.509  0.682  0.000
Nb  0.023  0.000  0.239
Nb  0.491  0.818  0.500
Nb  0.509  0.318  0.000
Nb  0.977  0.500  0.261
Nb  0.977  0.500  0.739
Nb  0.491  0.182  0.500
Nb  0.023  0.000  0.761
Pa  0.235  0.500  0.500
Pa  0.765  0.000  0.000


# 2
This record from Alexandria describes a relaxed In3TeSe3 crystal. The functional is GGA-PBE.

Values from the calculation:
DOS(E_F) in states/eV/atom: 0.1649
DFT total energy in eV/f.u.: -24.51
Crystal system: trigonal
Uncorrected formation energy in eV per formula unit: -2.70

Cell: 7.100 7.100 11.005 Å, 71.18 71.18 60.00°
Positions (direct):
Se  0.888  0.574  0.334
Se  0.426  0.796  0.666
Se  0.112  0.426  0.666
Se  0.204  0.888  0.334
Se  0.796  0.112  0.666
Se  0.574  0.204  0.334
In  0.576  0.931  0.209
In  0.285  0.576  0.209
In  0.931  0.285  0.209
In  0.424  0.069  0.791
In  0.715  0.424  0.791
In  0.069  0.715  0.791
Te  0.667  0.667  0.000
Te  0.333  0.333  0.000


# 3
This record from Alexandria describes a relaxed Mg2Rh3Pb2 crystal. The functional is GGA-PBE.

Values from the calculation:
DOS(E_F) in states/eV/atom: 0.5835
DFT total energy in eV/f.u.: -34.33
Crystal system: triclinic
Formation energy in meV per atom: -238.0

Cell: 4.654 4.649 7.541 Å, 90.06 107.78 119.96°
Positions (direct):
Pb  0.785  0.392  0.179
Pb  0.215  0.608  0.821
Rh  0.521  0.260  0.778
Rh  0.000  0.000  0.000
Rh  0.479  0.740  0.222
Mg  0.737  0.868  0.605
Mg  0.263  0.132  0.395


# 4
This record from Alexandria describes a relaxed SrLa2CuN crystal. The functional is GGA-PBE.

Values from the calculation:
DOS(E_F) in states/eV/atom: 1.2297
DFT total energy in eV/f.u.: -17.93
Crystal system: tetragonal
Excess energy over the best structure of this formula in the dataset in meV per atom: 1597
Uncorrected formation energy in eV per formula unit: 6.03

Cell: 6.008 4.341 6.008 Å, 90.00 90.00 90.00°
Last column: magnetic moment on the atom in μB.
Positions (direct):
La  0.000  0.000  0.500  0.07
La  0.500  0.000  0.000  0.03
Sr  0.000  0.000  0.000  -0.01
Cu  0.500  0.500  0.500  0.00
N  0.000  0.500  0.000  -0.17


# 5
This record from Alexandria describes a relaxed PmSc crystal. The functional is GGA-PBE.

Values from the calculation:
DOS(E_F) in states/eV/atom: 1.4915
DFT total energy in eV/f.u.: -10.94
Crystal system: cubic
Formation energy in meV per atom: 73.3
Excess energy over the best structure of this formula in the dataset in meV per atom: 26

Cell: 3.878 3.878 3.878 Å, 90.00 90.00 90.00°
Positions (direct):
Sc  0.500  0.500  0.500
Pm  0.000  0.000  0.000


# 6
This record from Alexandria describes a relaxed AlAgSn crystal. The functional is GGA-PBE.

Values from the calculation:
DOS(E_F) in states/eV/atom: 0.2130
DFT total energy in eV/f.u.: -10.35
Crystal system: orthorhombic
Formation energy in meV per atom: 81.7

Cell: 7.272 5.068 7.067 Å, 90.00 90.00 90.00°
Positions (direct):
Al  0.094  0.250  0.783
Al  0.406  0.750  0.283
Al  0.594  0.250  0.717
Al  0.906  0.750  0.217
Ag  0.399  0.250  0.042
Ag  0.101  0.750  0.542
Ag  0.899  0.250  0.458
Ag  0.601  0.750  0.958
Sn  0.813  0.250  0.056
Sn  0.187  0.750  0.944
Sn  0.313  0.250  0.444
Sn  0.687  0.750  0.556


# 7
This record from Alexandria describes a relaxed CaLa2Pr3 crystal. The functional is GGA-PBE.

Values from the calculation:
DOS(E_F) in states/eV/atom: 1.4128
DFT total energy in eV/f.u.: -25.98
Crystal system: monoclinic
Formation energy in meV per atom: 35.8
Excess energy over the best structure of this formula in the dataset in meV per atom: 0

Cell: 7.465 6.476 12.409 Å, 110.38 90.00 125.19°
Positions (direct):
La  0.213  0.674  0.425
La  0.462  0.674  0.925
La  0.538  0.326  0.075
La  0.787  0.326  0.575
Pr  0.374  0.000  0.750
Pr  0.626  0.000  0.250
Pr  0.707  0.665  0.415
Pr  0.043  0.335  0.085
Pr  0.293  0.335  0.585
Pr  0.957  0.665  0.915
Ca  0.126  0.000  0.250
Ca  0.874  0.000  0.750


# 8
This record from Alexandria describes a relaxed Li2SmSc3S6 crystal. The functional is GGA-PBE.

Values from the calculation:
DOS(E_F) in states/eV/atom: 0.2501
DFT total energy in eV/f.u.: -74.35
Crystal system: monoclinic
Uncorrected formation energy in eV per formula unit: -22.04

Cell: 6.462 6.462 6.622 Å, 99.38 99.38 120.02°
Positions (direct):
S  0.087  0.430  0.261
S  0.570  0.913  0.739
S  0.745  0.745  0.262
S  0.913  0.570  0.739
S  0.255  0.255  0.738
S  0.430  0.087  0.261
Sm  0.000  0.000  0.000
Sc  0.166  0.834  0.500
Sc  0.500  0.500  0.500
Sc  0.834  0.166  0.500
Li  0.332  0.668  0.000
Li  0.668  0.332  0.000


Q: DFT total energy of number 7 (CaLa2Pr3)?
A: -25.98 eV/f.u.


Q: Which of these has the highest DOS(E_F)?
A: PmSc


Q: Number 4 is which compound?
A: SrLa2CuN